# 1
Compound: Ce6P2S3Cl
Source: Alexandria
Functional: PBE
Structure: relaxed

Output
formation energy from raw total energies = -173.02 kJ/mol of atoms
M_tot = 1.5 μB/cell

Cell lengths 4.048, 8.082, 9.047 Å; angles 103.04, 102.93, 90.00 degrees
Last column: magnetic moment on the atom in μB.
Sites, in units of the cell vectors:
Ce 0.331 0.915 0.661  0.38
Ce 0.667 0.582 0.335  -0.32
Ce 0.669 0.085 0.339  0.38
Ce 0.000 0.259 0.000  0.59
Ce 0.000 0.741 0.000  0.59
Ce 0.333 0.418 0.665  -0.32
P 0.834 0.669 0.669  0.00
P 0.166 0.331 0.331  0.00
S 0.500 0.500 0.000  -0.01
S 0.833 0.167 0.667  -0.01
S 0.167 0.833 0.333  -0.01
Cl 0.500 0.000 0.000  -0.01


# 2
Compound: SbBrCl2
Source: Alexandria
Functional: PBE
Structure: relaxed

Output
formation energy from raw total energies = -7.90 kJ/mol of atoms
M_tot = 0.0 μB/cell

Cell lengths 3.103, 3.803, 9.365 Å; angles 90.00, 90.00, 90.00 degrees
Sites, in units of the cell vectors:
Sb 0.500 0.500 0.250
Br 0.500 0.500 0.750
Cl 0.000 0.000 0.071
Cl 0.000 0.000 0.429


# 3
Compound: AcNd2Ni
Source: Alexandria
Functional: PBE
Structure: relaxed

Output
energy of formation from the pure elements = -0.0764 eV per atom
M_tot = 0.0 μB/cell

Cell lengths 4.016, 4.016, 9.743 Å; angles 78.10, 78.10, 60.00 degrees
Sites, in units of the cell vectors:
Ac 0.502 0.502 0.495
Nd 0.055 0.055 0.834
Nd 0.277 0.277 0.168
Ni 0.666 0.666 0.003


# 4
Compound: GaIr2Pd
Source: Alexandria
Functional: PBE
Structure: relaxed

Output
energy of formation from the pure elements = 0.2479 eV per atom
M_tot = 0.0 μB/cell

Cell lengths 3.700, 3.700, 9.801 Å; angles 79.12, 79.12, 90.00 degrees
Sites, in units of the cell vectors:
Ir 0.626 0.125 0.250
Ir 0.124 0.625 0.250
Ir 0.375 0.374 0.750
Ir 0.875 0.876 0.750
Ga 0.500 0.500 0.000
Ga 0.250 0.750 0.500
Pd 0.000 0.000 0.000
Pd 0.750 0.250 0.500


# 5
Compound: Ac6Te5Au
Source: Alexandria
Functional: PBE
Structure: relaxed

Output
formation energy from raw total energies = -134.01 kJ/mol of atoms
M_tot = 0.0 μB/cell

Cell lengths 8.170, 8.231, 8.196 Å; angles 59.86, 80.32, 70.43 degrees
Sites, in units of the cell vectors:
Ac 0.763 0.078 0.316
Ac 0.237 0.605 0.316
Ac 0.245 0.234 0.000
Ac 0.755 0.766 0.000
Ac 0.763 0.395 0.684
Ac 0.237 0.922 0.684
Te 0.500 0.177 0.646
Te 0.000 0.335 0.329
Te 0.500 0.500 0.000
Te 0.000 0.665 0.671
Te 0.500 0.823 0.354
Au 0.000 0.000 0.000


# 6
Compound: TbDy2ErSe5
Source: Alexandria
Functional: PBE
Structure: relaxed

Output
formation energy from raw total energies = -108.73 kJ/mol of atoms
M_tot = 0.0 μB/cell

Cell lengths 5.107, 5.107, 10.735 Å; angles 90.00, 90.00, 90.00 degrees
Sites, in units of the cell vectors:
Tb 0.000 0.000 0.000
Dy 0.500 0.500 0.340
Dy 0.500 0.500 0.660
Er 0.000 0.000 0.500
Se 0.000 0.500 0.500
Se 0.500 0.000 0.500
Se 0.000 0.000 0.752
Se 0.000 0.000 0.248
Se 0.500 0.500 0.000


# 7
Compound: LiSm3Al
Source: Alexandria
Functional: PBE
Structure: relaxed

Output
energy of formation from the pure elements = -0.0715 eV per atom
M_tot = 0.0 μB/cell

Cell lengths 6.852, 8.271, 10.321 Å; angles 71.53, 90.00, 90.00 degrees
Sites, in units of the cell vectors:
Li 0.250 0.028 0.494
Li 0.750 0.972 0.506
Li 0.750 0.972 0.006
Li 0.250 0.028 0.994
Sm 0.990 0.769 0.306
Sm 0.010 0.231 0.694
Sm 0.490 0.231 0.194
Sm 0.510 0.769 0.806
Sm 0.509 0.768 0.307
Sm 0.491 0.232 0.693
Sm 0.009 0.232 0.193
Sm 0.991 0.768 0.807
Sm 0.250 0.605 0.598
Sm 0.750 0.395 0.402
Sm 0.750 0.395 0.902
Sm 0.250 0.605 0.098
Al 0.750 0.610 0.097
Al 0.250 0.390 0.903
Al 0.250 0.390 0.403
Al 0.750 0.610 0.597


# 8
Compound: PmNi3Rh
Source: Alexandria
Functional: PBE
Structure: relaxed

Output
energy of formation from the pure elements = 0.0692 eV per atom
M_tot = 2.6 μB/cell

Cell lengths 4.373, 8.698, 8.698 Å; angles 149.26, 90.00, 90.00 degrees
Last column: magnetic moment on the atom in μB.
Sites, in units of the cell vectors:
Pm 0.750 0.589 0.411  -0.05
Pm 0.250 0.411 0.589  -0.05
Ni 0.750 0.467 0.009  0.47
Ni 0.750 0.991 0.533  0.47
Ni 0.250 0.009 0.467  0.47
Ni 0.250 0.533 0.991  0.47
Ni 0.000 0.000 0.000  0.17
Ni 0.500 0.000 0.000  0.17
Rh 0.750 0.862 0.138  0.31
Rh 0.250 0.138 0.862  0.31


Q: What is the M_tot in the sixth record?
A: 0.0 μB/cell